Entry 1:
Entry from Alexandria: crystalline BePPdS2 at its relaxed geometry (PBE).

Its energy above the most stable polymorph in this dataset is 0.486 eV/atom. Its uncorrected formation energy is 1.0212 eV per atom.

a = 4.8637 Å, b = 4.8637 Å, c = 4.4051 Å
α = 90.00°, β = 90.00°, γ = 90.00°
Last column: nearest neighbours and their distance in Å.
Space group P4/mmm (No. 123)
Symmetry-distinct sites (fractional):
Be1 0.0000 0.0000 0.0000 [1 per cell]  8 S 3.28, 4 P 3.44
P1 0.5000 0.5000 0.0000 [1 per cell]  2 Pd 2.20
Pd1 0.5000 0.5000 0.5000 [1 per cell]  2 P 2.20, 4 S 2.43
S1 0.0000 0.5000 0.5000 [2 per cell]  2 Pd 2.43

=====

Entry 2:
Entry from Alexandria: crystalline SrBePPd at its relaxed geometry (PBE).

For the final energy, the calculation gives -4.59 eV/atom.

a = 3.7897 Å, b = 3.7897 Å, c = 10.7728 Å
α = 90.00°, β = 90.00°, γ = 90.00°
Last column: nearest neighbours and their distance in Å.
Space group P4/nmm (No. 129, origin choice 2)
Symmetry-distinct sites (fractional):
Sr1 0.2500 0.2500 0.2289 [2 per cell]  4 Pd 3.11, 4 P 3.17, 4 Be 3.48
Be1 0.2500 0.7500 0.5000 [2 per cell]  4 P 2.26
P1 0.2500 0.2500 0.6145 [2 per cell]  4 Be 2.26
Pd1 0.2500 0.7500 0.0000 [2 per cell]  4 Pd 2.68

=====

Entry 3:
Entry from Alexandria: crystalline Pm2BeP at its relaxed geometry (PBE).

Its energy above the most stable polymorph in this dataset is 0.098 eV/atom.

a = 4.8514 Å, b = 4.8514 Å, c = 3.6842 Å
α = 90.00°, β = 90.00°, γ = 90.00°
Last column: nearest neighbours and their distance in Å.
Space group P4/mmm (No. 123)
Symmetry-distinct sites (fractional):
Pm1 0.0000 0.5000 0.0000 [2 per cell]  4 P 3.05, 4 Be 3.05
Be1 0.0000 0.0000 0.5000 [1 per cell]  8 Pm 3.05
P1 0.5000 0.5000 0.5000 [1 per cell]  8 Pm 3.05

=====

Entry 4:
Entry from Alexandria: crystalline Pm2BeP at its relaxed geometry (PBE).

Its energy above the most stable polymorph in this dataset is 0.184 eV/atom.

a = 7.0328 Å, b = 7.0328 Å, c = 7.0328 Å
α = 90.00°, β = 90.00°, γ = 90.00°
Last column: nearest neighbours and their distance in Å.
Space group Fm-3m (No. 225)
Symmetry-distinct sites (fractional):
Pm1 0.2500 0.2500 0.2500 [8 per cell]  4 Be 3.05, 4 P 3.05
Be1 0.0000 0.0000 0.0000 [4 per cell]  8 Pm 3.05
P1 0.0000 0.0000 0.5000 [4 per cell]  8 Pm 3.05

=====

Entry 5:
Entry from Alexandria: crystalline Pm3BeP at its relaxed geometry (PBE).

For the final energy, the calculation gives -4.75 eV/atom.

a = 5.4001 Å, b = 5.4001 Å, c = 5.4001 Å
α = 90.00°, β = 90.00°, γ = 90.00°
Last column: nearest neighbours and their distance in Å.
Space group Pm-3m (No. 221)
Symmetry-distinct sites (fractional):
Pm1 0.0000 0.0000 0.5000 [3 per cell]  2 P 2.70
Be1 0.5000 0.5000 0.5000 [1 per cell]  12 Pm 3.82
P1 0.0000 0.0000 0.0000 [1 per cell]  6 Pm 2.70

=====

Entry 6:
Entry from Alexandria: crystalline Pm2BeP at its relaxed geometry (PBE).

Its energy above the most stable polymorph in this dataset is 0.000 eV/atom.

a = 4.0725 Å, b = 4.0725 Å, c = 21.0413 Å
α = 90.00°, β = 90.00°, γ = 120.00°
Last column: nearest neighbours and their distance in Å.
Space group R-3m (No. 166, hexagonal axes)
Symmetry-distinct sites (fractional):
Pm1 0.0000 0.0000 0.2438 [6 per cell]  3 P 2.86, 3 Be 3.01
Be1 0.0000 0.0000 0.0000 [3 per cell]  6 Pm 3.01
P1 0.0000 0.0000 0.5000 [3 per cell]  6 Pm 2.86

=====

Entry 7:
Entry from Alexandria: crystalline Pm2BeP4Rh3 at its relaxed geometry (PBE).

For the final energy, the calculation gives -6.65 eV/atom.

a = 4.1348 Å, b = 4.1348 Å, c = 9.5616 Å
α = 90.00°, β = 90.00°, γ = 90.00°
Last column: nearest neighbours and their distance in Å.
Space group P-4m2 (No. 115)
Symmetry-distinct sites (fractional):
Pm1 0.0000 0.5000 0.2448 [2 per cell]  8 P 3.12-3.15, 7 Rh 3.18-3.44, 2 Be 3.20
Be1 0.0000 0.0000 0.5000 [1 per cell]  4 P 2.43
P1 0.0000 0.0000 0.0000 [1 per cell]  4 Rh 2.34
P2 0.0000 0.5000 0.6335 [2 per cell]  3 Rh 2.40-2.43, 2 Be 2.43
P3 0.5000 0.5000 0.0000 [1 per cell]  4 Rh 2.34
Rh1 0.0000 0.5000 0.8850 [2 per cell]  5 P 2.34-2.40
Rh2 0.5000 0.5000 0.5000 [1 per cell]  4 P 2.43

=====

Entry 8:
Entry from Alexandria: crystalline PrBe3P3 at its relaxed geometry (PBE).

For the final energy, the calculation gives -5.17 eV/atom.

a = 8.7657 Å, b = 8.7657 Å, c = 3.7897 Å
α = 90.00°, β = 90.00°, γ = 120.00°
Last column: nearest neighbours and their distance in Å.
Space group P6_3/m (No. 176)
Symmetry-distinct sites (fractional):
Pr1 0.3333 0.6667 0.2500 [2 per cell]  6 P 2.94, 9 Be 3.06-3.15
Be1 0.0540 0.3972 0.7500 [6 per cell]  4 P 2.19-2.43
P1 0.0894 0.6900 0.7500 [6 per cell]  4 Be 2.19-2.43

=====

| no. | total magnetization (Bohr magnetons per cell) |
| --- | --- |
| 1 | 0.00 |
| 2 | 0.00 |
| 3 | 0.00 |
| 4 | 0.00 |
| 5 | 0.00 |
| 6 | 0.01 |
| 7 | 0.00 |
| 8 | 0.00 |